(1)
# GGA-PBE Sm8In2Bi, optimized geometry
# E_form (eV/f.u.): -2.97
data_Sm8In2Bi
_cell_length_a 10.2065
_cell_length_b 10.2065
_cell_length_c 7.0969
_cell_angle_alpha 102.39
_cell_angle_beta 102.39
_cell_angle_gamma 29.67
_symmetry_space_group_name_H-M 'P 1'
_symmetry_Int_Tables_number 1
loop_
_symmetry_equiv_pos_as_xyz
'x,y,z'
loop_
_atom_site_label
_atom_site_fract_x
_atom_site_fract_y
_atom_site_fract_z
Sm1 0.0239 0.0239 0.2560
Sm2 0.2098 0.2098 0.8136
Sm3 0.3403 0.3403 0.5193
Sm4 0.4064 0.4064 0.0317
Sm5 0.5936 0.5936 0.9683
Sm6 0.6597 0.6597 0.4807
Sm7 0.7902 0.7902 0.1864
Sm8 0.9761 0.9761 0.7440
In1 0.1854 0.1854 0.2489
In2 0.8146 0.8146 0.7511
Bi1 0.5000 0.5000 0.5000

=====

(2)
# GGA-PBE TiNb2TcH, optimized geometry
# VASP energy (eV/atom): -8.403
data_TiNb2TcH
_cell_length_a 3.8815
_cell_length_b 3.8815
_cell_length_c 4.6923
_cell_angle_alpha 90.00
_cell_angle_beta 90.00
_cell_angle_gamma 90.00
_symmetry_space_group_name_H-M 'P 1'
_symmetry_Int_Tables_number 1
loop_
_symmetry_equiv_pos_as_xyz
'x,y,z'
loop_
_atom_site_label
_atom_site_fract_x
_atom_site_fract_y
_atom_site_fract_z
Ti1 0.0000 0.0000 0.0000
Nb1 0.0000 0.5000 0.5000
Nb2 0.5000 0.0000 0.5000
Tc1 0.5000 0.5000 0.0000
H1 0.0000 0.0000 0.5000

=====

(3)
# GGA-PBE ZrPtW2, optimized geometry
# E_form (eV/f.u.): 0.64
data_ZrPtW2
_cell_length_a 2.8202
_cell_length_b 4.1496
_cell_length_c 5.9473
_cell_angle_alpha 90.00
_cell_angle_beta 90.00
_cell_angle_gamma 90.00
_symmetry_space_group_name_H-M 'P 1'
_symmetry_Int_Tables_number 1
loop_
_symmetry_equiv_pos_as_xyz
'x,y,z'
loop_
_atom_site_label
_atom_site_fract_x
_atom_site_fract_y
_atom_site_fract_z
Zr1 0.0000 0.0000 0.0000
Pt1 0.0000 0.0000 0.5000
W1 0.5000 0.5000 0.2715
W2 0.5000 0.5000 0.7285

=====

Q: Which formula does entry 1 have?
A: Sm8In2Bi

=====

Q: What is the formula in the third record?
A: ZrPtW2